First-principles (PBE-GGA) data for crystalline Sc2HgBr at its relaxed geometry, as listed in the Alexandria database.

```
data_Sc2HgBr
_chemical_formula_sum 'Sc6 Hg3 Br3'
_symmetry_space_group_name_H-M 'R -3 m'
_symmetry_Int_Tables_number 166
_symmetry_space_group_name_Hall '-R 3 2"'
_cell_length_a 3.5090
_cell_length_b 3.5090
_cell_length_c 25.9179
_cell_angle_alpha 90.00
_cell_angle_beta 90.00
_cell_angle_gamma 120.00
loop_
_atom_site_label
_atom_site_type_symbol
_atom_site_fract_x
_atom_site_fract_y
_atom_site_fract_z
Sc1 Sc 0.0000 0.0000 0.2488
Hg1 Hg 0.0000 0.0000 0.0000
Br1 Br 0.0000 0.0000 0.5000
```

Output
relative energy among the computed polymorphs: 0.190 eV per formula unit
E: -4.2002 eV per atom

---

First-principles (PBE-GGA) data for crystalline Ho2MgZn6 at its relaxed geometry, as listed in the Alexandria database.

```
data_Ho2MgZn6
_chemical_formula_sum 'Ho2 Mg1 Zn6'
_symmetry_space_group_name_H-M 'P 6/m m m'
_symmetry_Int_Tables_number 191
_symmetry_space_group_name_Hall '-P 6 2'
_cell_length_a 7.7388
_cell_length_b 7.7388
_cell_length_c 3.3316
_cell_angle_alpha 90.00
_cell_angle_beta 90.00
_cell_angle_gamma 120.00
loop_
_atom_site_label
_atom_site_type_symbol
_atom_site_fract_x
_atom_site_fract_y
_atom_site_fract_z
Ho1 Ho 0.3333 0.6667 0.0000
Mg1 Mg 0.0000 0.0000 0.0000
Zn1 Zn 0.0000 0.3286 0.5000
```

Output
E: -2.3175 eV per atom
E_form: -274 meV/atom

---

First-principles (PBE-GGA) data for crystalline PmSi2AsO8 at its relaxed geometry, as listed in the Alexandria database.

```
data_PmSi2AsO8
_chemical_formula_sum 'Pm2 Si4 As2 O16'
_symmetry_space_group_name_H-M 'I -4 m 2'
_symmetry_Int_Tables_number 119
_symmetry_space_group_name_Hall 'I -4 -2'
_cell_length_a 6.9467
_cell_length_b 6.9467
_cell_length_c 6.0892
_cell_angle_alpha 90.00
_cell_angle_beta 90.00
_cell_angle_gamma 90.00
loop_
_atom_site_label
_atom_site_type_symbol
_atom_site_fract_x
_atom_site_fract_y
_atom_site_fract_z
Pm1 Pm 0.0000 0.0000 0.0000
Si1 Si 0.0000 0.0000 0.5000
Si2 Si 0.0000 0.5000 0.2500
As1 As 0.0000 0.5000 0.7500
O1 O 0.0000 0.1870 0.6688
O2 O 0.0000 0.3288 0.0628
```

Output
E: -7.0312 eV per atom

---

First-principles (PBE-GGA) data for crystalline Tm2Ga9Co3 at its relaxed geometry, as listed in the Alexandria database.

```
data_Tm2Ga9Co3
_chemical_formula_sum 'Tm8 Ga36 Co12'
_symmetry_space_group_name_H-M 'C 1 2/c 1'
_symmetry_Int_Tables_number 15
_cell_length_a 12.7335
_cell_length_b 7.3294
_cell_length_c 10.2880
_cell_angle_alpha 90.00
_cell_angle_beta 114.51
_cell_angle_gamma 90.00
loop_
_symmetry_equiv_pos_as_xyz
'x,y,z'
'-x,-y,-z'
'-x,y,-z+1/2'
'x,-y,z+1/2'
'x+1/2,y+1/2,z'
'-x+1/2,-y+1/2,-z'
'-x+1/2,y+1/2,-z+1/2'
'x+1/2,-y+1/2,z+1/2'
loop_
_atom_site_label
_atom_site_type_symbol
_atom_site_fract_x
_atom_site_fract_y
_atom_site_fract_z
Tm1 Tm 0.1684 0.0832 0.2505
Ga1 Ga 0.0000 0.3660 0.2500
Ga2 Ga 0.0595 0.0814 0.9276
Ga3 Ga 0.1033 0.4151 0.0590
Ga4 Ga 0.1071 0.3107 0.7489
Ga5 Ga 0.2259 0.4162 0.4277
Co1 Co 0.0856 0.2441 0.5010
Co2 Co 0.2500 0.2500 0.0000
```

Output
E: -4.5845 eV per atom
E_form: -477 meV/atom